1.
VASP calculation (PBE) on a geometry-optimized TiGaAg structure.

## Properties
space group: No. 129
E_tot: -0.3274 Ry per atom
Fermi-level density of states: 5.9 states/eV/cell
DFT formation energy: 0.1370 eV/atom

Geometry as CIF:
```
data_TiGaAg
_cell_length_a 3.5678
_cell_length_b 3.5678
_cell_length_c 8.5224
_cell_angle_alpha 90.00
_cell_angle_beta 90.00
_cell_angle_gamma 90.00
_space_group_name_H-M_alt 'P 1'
_space_group_IT_number 1
loop_
_space_group_symop_operation_xyz
'x,y,z'
loop_
_atom_site_label
_atom_site_fract_x
_atom_site_fract_y
_atom_site_fract_z
_atom_site_occupancy
Ti1 0.2500 0.2500 0.2480 1
Ti2 0.7500 0.7500 0.7520 1
Ga1 0.2500 0.7500 0.5000 1
Ga2 0.7500 0.2500 0.5000 1
Ag1 0.2500 0.2500 0.9108 1
Ag2 0.7500 0.7500 0.0892 1
```

---

2.
VASP calculation (PBE) on a geometry-optimized TiGaAg3 structure.

## Properties
space group: No. 221
energy relative to the lowest polymorph listed for this composition: 0 meV/atom
E_tot: -0.2403 Ry per atom
Fermi-level density of states: 4.6 states/eV/cell
DFT formation energy: 0.6252 eV/atom

Geometry as CIF:
```
data_TiGaAg3
_cell_length_a 4.7879
_cell_length_b 4.7879
_cell_length_c 4.7879
_cell_angle_alpha 90.00
_cell_angle_beta 90.00
_cell_angle_gamma 90.00
_space_group_name_H-M_alt 'P 1'
_space_group_IT_number 1
loop_
_space_group_symop_operation_xyz
'x,y,z'
loop_
_atom_site_label
_atom_site_fract_x
_atom_site_fract_y
_atom_site_fract_z
_atom_site_occupancy
Ti1 0.0000 0.0000 0.0000 1
Ga1 0.5000 0.5000 0.5000 1
Ag1 0.0000 0.5000 0.5000 1
Ag2 0.5000 0.0000 0.5000 1
Ag3 0.5000 0.5000 0.0000 1
```

---

3.
VASP calculation (PBE) on a geometry-optimized TiGaAg structure.

## Properties
space group: No. 11
E_tot: -0.3519 Ry per atom
Fermi-level density of states: 4.7 states/eV/cell
DFT formation energy: -0.1969 eV/atom

Geometry as CIF:
```
data_TiGaAg
_cell_length_a 4.2864
_cell_length_b 3.0185
_cell_length_c 7.8450
_cell_angle_alpha 90.00
_cell_angle_beta 91.06
_cell_angle_gamma 90.00
_space_group_name_H-M_alt 'P 1'
_space_group_IT_number 1
loop_
_space_group_symop_operation_xyz
'x,y,z'
loop_
_atom_site_label
_atom_site_fract_x
_atom_site_fract_y
_atom_site_fract_z
_atom_site_occupancy
Ti1 0.2336 0.2500 0.1032 1
Ti2 0.7664 0.7500 0.8968 1
Ga1 0.2603 0.2500 0.7660 1
Ga2 0.7397 0.7500 0.2340 1
Ag1 0.2473 0.7500 0.4342 1
Ag2 0.7527 0.2500 0.5658 1
```

---

4.
VASP calculation (PBE) on a geometry-optimized Ti2GaAg structure.

## Properties
space group: No. 123
E_tot: -0.4114 Ry per atom
Fermi-level density of states: 3.9 states/eV/cell
DFT formation energy: -0.1809 eV/atom

Geometry as CIF:
```
data_Ti2GaAg
_cell_length_a 4.0616
_cell_length_b 4.0616
_cell_length_c 4.0292
_cell_angle_alpha 90.00
_cell_angle_beta 90.00
_cell_angle_gamma 90.00
_space_group_name_H-M_alt 'P 1'
_space_group_IT_number 1
loop_
_space_group_symop_operation_xyz
'x,y,z'
loop_
_atom_site_label
_atom_site_fract_x
_atom_site_fract_y
_atom_site_fract_z
_atom_site_occupancy
Ti1 0.0000 0.5000 0.0000 1
Ti2 0.5000 0.0000 0.0000 1
Ga1 0.0000 0.0000 0.5000 1
Ag1 0.5000 0.5000 0.5000 1
```

---

5.
VASP calculation (PBE) on a geometry-optimized TiGaAg structure.

## Properties
space group: No. 2
E_tot: -0.3503 Ry per atom
Fermi-level density of states: 3.2 states/eV/cell
DFT formation energy: -0.1751 eV/atom

Geometry as CIF:
```
data_TiGaAg
_cell_length_a 3.0362
_cell_length_b 5.4928
_cell_length_c 6.5634
_cell_angle_alpha 76.88
_cell_angle_beta 76.65
_cell_angle_gamma 73.98
_space_group_name_H-M_alt 'P 1'
_space_group_IT_number 1
loop_
_space_group_symop_operation_xyz
'x,y,z'
loop_
_atom_site_label
_atom_site_fract_x
_atom_site_fract_y
_atom_site_fract_z
_atom_site_occupancy
Ti1 0.1110 0.1285 0.1503 1
Ti2 0.8890 0.8715 0.8497 1
Ga1 0.3666 0.5974 0.1683 1
Ga2 0.6334 0.4026 0.8317 1
Ag1 0.3615 0.2514 0.5258 1
Ag2 0.6385 0.7486 0.4742 1
```

---

6.
VASP calculation (PBE) on a geometry-optimized TiGaAg3 structure.

## Properties
space group: No. 221
energy relative to the lowest polymorph listed for this composition: 389 meV/atom
E_tot: -0.2117 Ry per atom
Fermi-level density of states: 4.2 states/eV/cell
DFT formation energy: 1.0142 eV/atom

Geometry as CIF:
```
data_TiGaAg3
_cell_length_a 5.1267
_cell_length_b 5.1267
_cell_length_c 5.1267
_cell_angle_alpha 90.00
_cell_angle_beta 90.00
_cell_angle_gamma 90.00
_space_group_name_H-M_alt 'P 1'
_space_group_IT_number 1
loop_
_space_group_symop_operation_xyz
'x,y,z'
loop_
_atom_site_label
_atom_site_fract_x
_atom_site_fract_y
_atom_site_fract_z
_atom_site_occupancy
Ti1 0.0000 0.0000 0.0000 1
Ga1 0.5000 0.5000 0.5000 1
Ag1 0.0000 0.0000 0.5000 1
Ag2 0.0000 0.5000 0.0000 1
Ag3 0.5000 0.0000 0.0000 1
```